This record from Alexandria describes a relaxed structure of ZnPtW2N. The functional is PBE.

Summary:
- ΔE_f (raw) (eV/atom) = 0.197
- total magnetic moment (μB per cell) = 0.00

Lattice parameters (Å, degrees): 4.0440 4.0440 4.3690 90.00 90.00 90.00
Space group P4/mmm (No. 123)
Inequivalent atoms, fractional coordinates:
Zn: 0.0000 0.0000 0.0000 [1 per cell]
Pt: 0.5000 0.5000 0.0000 [1 per cell]
W: 0.0000 0.5000 0.5000 [2 per cell]
N: 0.5000 0.5000 0.5000 [1 per cell]